one | Here is CaLaY3 after structural relaxation from Alexandria. Energies are from PBE.

## Properties
Magnetization   0.00 μB per cell
D(E_F)   5.68 states/eV/f.u.

abc: 5.730 5.730 5.730
angles: 90.00 90.00 90.00
Element x y z (fractional)
Y 0.000 0.500 0.000
Y 0.000 0.000 0.500
Y 0.500 0.000 0.000
Ca 0.000 0.000 0.000
La 0.500 0.500 0.500

***

two | Here is CaLaY3 after structural relaxation from Alexandria. Energies are from PBE.

## Properties
Magnetization   0.00 μB per cell
D(E_F)   7.49 states/eV/f.u.

abc: 6.949 6.949 9.827
angles: 69.30 69.30 60.00
Element x y z (fractional)
Ca 0.333 0.333 0.002
Ca 0.667 0.667 0.998
La 0.085 0.085 0.746
La 0.915 0.915 0.254
Y 0.113 0.621 0.645
Y 0.621 0.113 0.645
Y 0.379 0.379 0.355
Y 0.379 0.887 0.355
Y 0.887 0.379 0.355
Y 0.621 0.621 0.645

***

three | Here is CaLaY3 after structural relaxation from Alexandria. Energies are from PBE.

## Properties
Magnetization   0.00 μB per cell
D(E_F)   7.14 states/eV/f.u.

abc: 5.725 5.725 5.725
angles: 90.00 90.00 90.00
Element x y z (fractional)
Y 0.000 0.500 0.000
Y 0.000 0.000 0.500
Y 0.500 0.000 0.000
Ca 0.500 0.500 0.500
La 0.000 0.000 0.000

***

Stability verdict: two, ahead by 38.9 kJ/mol of atoms

***

one | Here is CaLa3Zn after structural relaxation from Alexandria. Energies are from PBE.

## Properties
Magnetization   0.00 μB per cell
D(E_F)   15.33 states/eV/f.u.

abc: 5.846 5.846 5.846
angles: 90.00 90.00 90.00
Element x y z (fractional)
Zn 0.000 0.000 0.000
Ca 0.500 0.500 0.500
La 0.000 0.500 0.000
La 0.000 0.000 0.500
La 0.500 0.000 0.000

***

two | Here is CaLa3Zn after structural relaxation from Alexandria. Energies are from PBE.

## Properties
Magnetization   0.00 μB per cell
D(E_F)   10.19 states/eV/f.u.

abc: 5.825 5.825 5.825
angles: 90.00 90.00 90.00
Element x y z (fractional)
Zn 0.500 0.500 0.500
Ca 0.000 0.000 0.000
La 0.000 0.500 0.000
La 0.000 0.000 0.500
La 0.500 0.000 0.000

***

Stability verdict: one, ahead by 70.9 kJ/mol of atoms